Entry 1:
Material: Nd2Sc2Tl3
Method: DFT, GGA-PBE
State: optimized geometry

abc: 4.569 3.371 12.495
angles: 90.00 79.47 90.00
Atoms (fractional coordinates):
Sc: 0.291 0.500 0.417
Tl: 0.000 0.000 0.000
Tl: 0.837 0.000 0.325
Sc: 0.709 0.500 0.583
Tl: 0.163 0.000 0.675
Nd: 0.423 0.500 0.153
Nd: 0.577 0.500 0.847

Calculated values
Spin magnetization in μB per formula unit: 0.323
Total DFT energy (no corrections) in eV/atom: -4.40
Density of states at the Fermi level in states/eV/atom: 1.032
Calculated density in g/cm3: 8.702

Entry 2:
Material: LiCd4Tc4O12
Method: DFT, GGA-PBE
State: optimized geometry

abc: 5.574 5.603 7.951
angles: 90.02 90.06 89.03
Atoms (fractional coordinates):
O: 0.207 0.193 0.450
O: 0.979 0.404 0.750
Cd: 0.465 0.494 0.250
Tc: 0.517 0.000 0.489
Tc: 0.006 0.500 0.496
Cd: 0.076 0.997 0.751
O: 0.205 0.192 0.050
O: 0.704 0.307 0.055
O: 0.053 0.600 0.250
O: 0.557 0.897 0.250
Cd: 0.978 0.007 0.250
Tc: 0.005 0.500 0.004
Tc: 0.516 0.000 0.011
Cd: 0.427 0.438 0.752
O: 0.490 0.064 0.750
O: 0.322 0.694 0.548
O: 0.319 0.695 0.953
O: 0.707 0.305 0.443
Li: 0.687 0.771 0.749
O: 0.831 0.816 0.545
O: 0.829 0.816 0.955

Calculated values
Offset from the most stable computed form in eV/atom: 0.016
Spin magnetization in μB per formula unit: 11.019
Raw formation energy in eV/atom: -1.0890
Total DFT energy (no corrections) in eV/atom: -6.16
Density of states at the Fermi level in states/eV/atom: 0.307
Calculated density in g/cm3: 6.959

Entry 3:
Material: Sb5As4
Method: DFT, GGA-PBE
State: optimized geometry

abc: 7.816 7.816 7.816
angles: 93.29 93.29 152.29
Atoms (fractional coordinates):
As: 0.358 0.000 0.358
As: 0.000 0.358 0.358
As: 0.642 0.000 0.642
Sb: 0.668 0.332 0.000
Sb: 0.332 0.332 0.665
Sb: 0.000 0.000 0.000
Sb: 0.332 0.668 0.000
Sb: 0.668 0.668 0.335
As: 0.000 0.642 0.642

Calculated values
Spin magnetization in μB per formula unit: 0.000
Raw formation energy in eV/atom: 0.3481
Total DFT energy (no corrections) in eV/atom: -4.01
Density of states at the Fermi level in states/eV/atom: 0.654
Calculated density in g/cm3: 6.998

Entry 4:
Material: Ac2ScPb
Method: DFT, GGA-PBE
State: optimized geometry

abc: 4.416 4.416 7.232
angles: 90.00 90.00 90.00
Atoms (fractional coordinates):
Pb: 0.500 0.500 0.000
Ac: 0.000 0.000 0.760
Ac: 0.000 0.000 0.240
Sc: 0.500 0.500 0.500

Calculated values
Offset from the most stable computed form in eV/atom: 0.031
Spin magnetization in μB per formula unit: 0.000
Total DFT energy (no corrections) in eV/atom: -4.71
Density of states at the Fermi level in states/eV/atom: 1.259
Calculated density in g/cm3: 8.313

Entry 5:
Material: DyBePd
Method: DFT, GGA-PBE
State: optimized geometry

abc: 3.964 5.419 5.312
angles: 90.00 90.00 111.45
Atoms (fractional coordinates):
Pd: 0.429 0.858 0.250
Dy: 0.289 0.578 0.750
Be: 0.000 0.000 0.000
Pd: 0.571 0.142 0.750
Dy: 0.711 0.422 0.250
Be: 0.000 0.000 0.500

Calculated values
Offset from the most stable computed form in eV/atom: 0.029
Spin magnetization in μB per formula unit: 0.000
Total DFT energy (no corrections) in eV/atom: -5.02
Density of states at the Fermi level in states/eV/atom: 0.649
Calculated density in g/cm3: 8.692

Entry 6:
Material: HfMn2H
Method: DFT, GGA-PBE
State: optimized geometry

abc: 5.159 5.159 5.159
angles: 60.00 60.00 90.00
Atoms (fractional coordinates):
Hf: 0.750 0.250 0.500
Mn: 0.375 0.625 0.750
Mn: 0.375 0.125 0.250
Mn: 0.375 0.625 0.250
H: 0.500 0.500 0.000
Mn: 0.875 0.625 0.750
H: 0.250 0.750 0.500
Hf: 0.000 0.000 0.000

Calculated values
Offset from the most stable computed form in eV/atom: 0.000
Spin magnetization in μB per formula unit: 3.000
Total DFT energy (no corrections) in eV/atom: -8.00
Density of states at the Fermi level in states/eV/atom: 0.235
Calculated density in g/cm3: 9.898